# 1
## Cd5Hg12Sb3 (PBE)

Data for an optimized crystal structure of Cd5Hg12Sb3.

The space group is Ia-3d (No. 230) and the conventional cell measures 17.211, 17.211 and 17.211 Å, with angles of 90.00, 90.00 and 90.00 degrees. Symmetry generates all atoms from Cd at (0.000, 0.000, 0.000), Cd at (0.000, 0.250, 0.375), Hg at (0.019, 0.079, 0.651) and Sb at (0.000, 0.250, 0.125).

The uncorrected energy comes out at -0.90 eV per atom. The formation energy without anion corrections comes out at 0.130 eV/atom. Its mass density is 8.69 g cm⁻³. The total magnetic moment is 0.0 Bohr magnetons per cell.

=====

# 2
## CdHgSb2 (PBE)

Data for an optimized crystal structure of CdHgSb2.

The space group is P4mm (No. 99) and the conventional cell measures 3.767, 3.767 and 7.741 Å, with angles of 90.00, 90.00 and 90.00 degrees. Symmetry generates all atoms from Cd at (0.000, 0.000, 0.000), Hg at (0.500, 0.500, 0.227), Sb at (0.000, 0.000, 0.528) and Sb at (0.500, 0.500, 0.724).

The uncorrected energy comes out at -2.22 eV per atom. The formation energy without anion corrections comes out at 0.141 eV/atom. Its mass density is 8.41 g cm⁻³. The total magnetic moment is 0.0 Bohr magnetons per cell.

=====

# 3
## Cd5Hg2Sb3 (PBE)

Data for an optimized crystal structure of Cd5Hg2Sb3.

The space group is P2_1 (No. 4) and the conventional cell measures 4.774, 7.858 and 14.500 Å, with angles of 90.00, 98.79 and 90.00 degrees. Symmetry generates all atoms from Cd at (0.002, 0.000, 0.399), Cd at (0.048, 0.861, 0.741), Cd at (0.223, 0.092, 0.086), Cd at (0.258, 0.572, 0.104), Cd at (0.358, 0.727, 0.291), Hg at (0.209, 0.333, 0.849), Hg at (0.456, 0.353, 0.468), Sb at (0.102, 0.119, 0.598), Sb at (0.285, 0.836, 0.943) and Sb at (0.449, 0.119, 0.288).

The uncorrected energy comes out at -1.73 eV per atom. The formation energy without anion corrections comes out at 0.024 eV/atom. Its mass density is 8.21 g cm⁻³. The total magnetic moment is 0.0 Bohr magnetons per cell.

=====

# 4
## Cd2HgSb (PBE)

Data for an optimized crystal structure of Cd2HgSb.

The space group is Imm2 (No. 44) and the conventional cell measures 3.022, 5.693 and 11.910 Å, with angles of 90.00, 90.00 and 90.00 degrees. Symmetry generates all atoms from Cd at (0.000, 0.000, 0.000), Cd at (0.000, 0.500, 0.267), Hg at (0.000, 0.500, 0.759) and Sb at (0.000, 0.000, 0.529).

The uncorrected energy comes out at -1.46 eV per atom. The formation energy without anion corrections comes out at 0.099 eV/atom. Its mass density is 8.87 g cm⁻³. The total magnetic moment is 0.0 Bohr magnetons per cell.

=====

# 5
## CdHgSb2 (PBE)

Data for an optimized crystal structure of CdHgSb2.

The space group is Pmm2 (No. 25) and the conventional cell measures 3.371, 4.639 and 6.831 Å, with angles of 90.00, 90.00 and 90.00 degrees. Symmetry generates all atoms from Cd at (0.000, 0.000, 0.000), Hg at (0.500, 0.500, 0.275), Sb at (0.000, 0.000, 0.456) and Sb at (0.500, 0.500, 0.821).

The uncorrected energy comes out at -2.20 eV per atom. The formation energy without anion corrections comes out at 0.162 eV/atom. Its mass density is 8.65 g cm⁻³. The total magnetic moment is 0.0 Bohr magnetons per cell.

=====

# 6
## Cd2HgSb (PBE)

Data for an optimized crystal structure of Cd2HgSb.

The space group is Cmm2 (No. 35) and the conventional cell measures 4.107, 5.211 and 9.430 Å, with angles of 90.00, 90.00 and 90.00 degrees. Symmetry generates all atoms from Cd at (0.000, 0.000, 0.000), Cd at (0.000, 0.500, 0.236), Hg at (0.000, 0.500, 0.759) and Sb at (0.000, 0.000, 0.486).

The uncorrected energy comes out at -1.47 eV per atom. The formation energy without anion corrections comes out at 0.092 eV/atom. Its mass density is 9.01 g cm⁻³. The total magnetic moment is 0.0 Bohr magnetons per cell.

=====

# 7
## Cd3HgSb (PBE)

Data for an optimized crystal structure of Cd3HgSb.

The space group is Pm-3m (No. 221) and the conventional cell measures 5.706, 5.706 and 5.706 Å, with angles of 90.00, 90.00 and 90.00 degrees. Symmetry generates all atoms from Cd at (0.000, 0.000, 0.500), Hg at (0.500, 0.500, 0.500) and Sb at (0.000, 0.000, 0.000).

The uncorrected energy comes out at -1.16 eV per atom. The formation energy without anion corrections comes out at 0.273 eV/atom. Its mass density is 5.90 g cm⁻³. The total magnetic moment is 0.0 Bohr magnetons per cell.

=====

# 8
## CdHgSb (PBE)

Data for an optimized crystal structure of CdHgSb.

The space group is F-43m (No. 216) and the conventional cell measures 7.096, 7.096 and 7.096 Å, with angles of 90.00, 90.00 and 90.00 degrees. Symmetry generates all atoms from Cd at (0.000, 0.000, 0.000), Hg at (0.000, 0.000, 0.500) and Sb at (0.250, 0.250, 0.750).

The uncorrected energy comes out at -1.68 eV per atom. The formation energy without anion corrections comes out at 0.098 eV/atom. Its mass density is 8.08 g cm⁻³. The total magnetic moment is 0.0 Bohr magnetons per cell.